Record 1
A crystal of KLiC2 relaxed with PBEsol. Source: Alexandria, functional meta-GGA SCAN.

Lattice parameters (Å, degrees): 6.0502 6.0502 6.0502 90.00 90.00 90.00
Space group Fm-3m (No. 225)
Asymmetric unit:
K1 0.0000 0.0000 0.0000
Li1 0.0000 0.0000 0.5000
C1 0.2500 0.2500 0.2500

- magnetic moment (μB/cell) = 0.0
- density of states at the Fermi level (states/eV/atom) = 0.36
- formation energy (eV/atom) = 2.43

---

Record 2
A crystal of K2GeS6O21 relaxed with PBEsol. Source: Alexandria, functional meta-GGA SCAN.

Lattice parameters (Å, degrees): 9.6588 9.6588 10.8945 90.00 90.00 120.00
Space group P-3 (No. 147)
Asymmetric unit:
K1 0.3333 0.6667 0.0552
K2 0.3333 0.6667 0.6272
Ge1 0.0000 0.0000 0.2561
S1 0.0654 0.3350 0.8391
S2 0.1711 0.8217 0.3463
O1 0.0008 0.6679 0.3007
O2 0.0351 0.6466 0.0742
O3 0.0474 0.1708 0.8525
O4 0.0485 0.1746 0.3605
O5 0.1423 0.4291 0.2516
O6 0.1933 0.7735 0.4649
O7 0.2290 0.4588 0.8292

- magnetic moment (μB/cell) = 0.0
- density of states at the Fermi level (states/eV/atom) = 0.00
- E_form (uncorrected) (meV/atom) = -1593

---

Record 3
A crystal of BaSi2W relaxed with PBEsol. Source: Alexandria, functional meta-GGA SCAN.

Lattice parameters (Å, degrees): 3.5737 3.5319 13.7207 90.00 90.00 90.00
Space group Amm2 (No. 38)
Asymmetric unit:
Ba1 0.0000 0.0000 0.0000
Si1 0.0000 0.0000 0.2407
Si2 0.5000 0.0000 0.3566
W1 0.5000 0.0000 0.7183

- magnetic moment (μB/cell) = 0.0
- density of states at the Fermi level (states/eV/atom) = 0.43
- distance to the lowest polymorph of the same formula (meV/atom) = 0
- E_form (uncorrected) (meV/atom) = 246

---

Record 4
A crystal of Co2PRh relaxed with PBEsol. Source: Alexandria, functional meta-GGA SCAN.

Lattice parameters (Å, degrees): 2.6865 4.0716 8.1896 90.00 90.00 90.00
Space group Immm (No. 71)
Asymmetric unit:
Co1 0.0000 0.0000 0.2136
P1 0.0000 0.5000 0.5000
Rh1 0.0000 0.5000 0.0000

- magnetic moment (μB/cell) = 5.7
- density of states at the Fermi level (states/eV/atom) = 0.63
- formation energy (eV/atom) = -0.20

---

Record 5
A crystal of La3RhS relaxed with PBEsol. Source: Alexandria, functional meta-GGA SCAN.

Lattice parameters (Å, degrees): 5.3170 5.3170 5.3170 90.00 90.00 90.00
Space group Pm-3m (No. 221)
Asymmetric unit:
La1 0.0000 0.0000 0.5000
Rh1 0.5000 0.5000 0.5000
S1 0.0000 0.0000 0.0000

- magnetic moment (μB/cell) = 0.0
- density of states at the Fermi level (states/eV/atom) = 1.54
- E_form (uncorrected) (meV/atom) = -543

---

Record 6
A crystal of Ta2CrIr relaxed with PBEsol. Source: Alexandria, functional meta-GGA SCAN.

Lattice parameters (Å, degrees): 3.1123 3.1123 6.2314 90.00 90.00 90.00
Space group P4/mmm (No. 123)
Asymmetric unit:
Ta1 0.0000 0.0000 0.2348
Cr1 0.5000 0.5000 0.0000
Ir1 0.5000 0.5000 0.5000

- magnetic moment (μB/cell) = 0.0
- density of states at the Fermi level (states/eV/atom) = 0.65
- formation energy (eV/atom) = -0.41

---

Record 7
A crystal of AlFe2Mo relaxed with PBEsol. Source: Alexandria, functional meta-GGA SCAN.

Lattice parameters (Å, degrees): 2.9173 4.0752 8.2685 90.00 90.00 90.00
Space group Imm2 (No. 44)
Asymmetric unit:
Al1 0.0000 0.0000 0.0000
Fe1 0.0000 0.0000 0.5093
Fe2 0.0000 0.5000 0.2515
Mo1 0.0000 0.5000 0.7669

- magnetic moment (μB/cell) = 5.3
- density of states at the Fermi level (states/eV/atom) = 0.78
- formation energy (eV/atom) = -0.05

---

Record 8
A crystal of CsCu2Si2 relaxed with PBEsol. Source: Alexandria, functional meta-GGA SCAN.

Lattice parameters (Å, degrees): 4.1635 4.1635 13.1839 90.00 90.00 90.00
Space group I4/mmm (No. 139)
Asymmetric unit:
Cs1 0.0000 0.0000 0.0000
Cu1 0.0000 0.0000 0.3289
Si1 0.0000 0.5000 0.2500

- magnetic moment (μB/cell) = 0.0
- density of states at the Fermi level (states/eV/atom) = 0.37
- E_form (uncorrected) (meV/atom) = 197